A plane-wave DFT calculation with PBE was carried out for a relaxed La3CeSm2S6 crystal.

Geometry as CIF:
```
data_La3CeSm2S6
_space_group_name_H-M_alt 'C 1 2/m 1'
_space_group_IT_number 12
_space_group_name_Hall '-C 2y'
_cell_length_a 7.061
_cell_length_b 12.248
_cell_length_c 7.093
_cell_angle_alpha 90.00
_cell_angle_beta 109.50
_cell_angle_gamma 90.00
loop_
_atom_site_label
_atom_site_fract_x
_atom_site_fract_y
_atom_site_fract_z
_atom_site_occupancy
La1 0.000 0.000 0.000 1
La2 0.000 0.333 0.000 1
Ce1 0.000 0.500 0.500 1
Sm1 0.000 0.167 0.500 1
S1 0.246 0.000 0.740 1
S2 0.247 0.333 0.740 1
```

Computed properties:
Total magnetic moment ... 0.72 μB/f.u.
Uncorrected formation energy ... -2.10 eV/atom